First-principles (PBE-GGA) data for Nd2Sm8Hg after structural relaxation, as listed in Alexandria.

Properties
**N(E_F)**: 15.1 states/eV per cell
**Crystal system**: monoclinic
**Offset from the most stable computed form**: 0.00 kJ/mol of atoms
**Formation enthalpy at 0 K**: -0.040 eV per atom

abc: 5.706 6.552 10.191
angles: 94.19 106.26 90.00
Fractional positions:
Nd: 0.761 0.668 0.521
Nd: 0.239 0.332 0.479
Sm: 0.421 0.398 0.842
Sm: 0.658 0.119 0.317
Sm: 0.846 0.197 0.693
Sm: 0.959 0.739 0.918
Sm: 0.154 0.803 0.307
Sm: 0.342 0.881 0.683
Sm: 0.579 0.602 0.158
Sm: 0.041 0.261 0.082
Hg: 0.500 0.000 0.000